1.
This record from Alexandria via LeMat-Bulk describes a relaxed Tm3AlFe crystal. The functional is PBE-GGA.

Cell lengths 10.251, 10.251, 4.348 Å; angles 90.00, 90.00, 90.00 degrees
Fractional positions:
Tm1 0.029 0.323 0.000
Tm2 0.117 0.883 0.500
Tm3 0.177 0.529 0.500
Tm4 0.323 0.029 0.000
Tm5 0.383 0.383 0.000
Tm6 0.471 0.823 0.500
Tm7 0.529 0.177 0.500
Tm8 0.617 0.617 0.000
Tm9 0.677 0.971 0.000
Tm10 0.823 0.471 0.500
Tm11 0.883 0.117 0.500
Tm12 0.971 0.677 0.000
Al1 0.186 0.186 0.500
Al2 0.314 0.686 0.000
Al3 0.686 0.314 0.000
Al4 0.814 0.814 0.500
Fe1 0.074 0.074 0.000
Fe2 0.426 0.574 0.500
Fe3 0.574 0.426 0.500
Fe4 0.926 0.926 0.000

Values from the calculation:
- energy of formation (eV per atom) = -0.1448
- symmetry = P4_2/mnm

2.
This record from Alexandria via LeMat-Bulk describes a relaxed Mg4TaRu crystal. The functional is PBE-GGA.

Cell lengths 5.340, 5.340, 5.340 Å; angles 60.00, 60.00, 60.00 degrees
Fractional positions:
Mg1 0.125 0.125 0.125
Mg2 0.125 0.125 0.625
Mg3 0.125 0.625 0.125
Mg4 0.625 0.125 0.125
Ta1 0.500 0.500 0.500
Ru1 0.750 0.750 0.750

Values from the calculation:
- energy of formation (eV per atom) = 0.5177
- symmetry = F-43m

3.
This record from Alexandria via LeMat-Bulk describes a relaxed LiP2Rh crystal. The functional is PBE-GGA.

Cell lengths 2.899, 2.899, 6.781 Å; angles 90.00, 90.00, 90.00 degrees
Fractional positions:
Li1 0.000 0.000 0.000
P1 0.500 0.500 0.278
P2 0.500 0.500 0.722
Rh1 0.000 0.000 0.500

Values from the calculation:
- energy of formation (eV per atom) = -0.3128
- symmetry = P4/mmm

Uncorrected energy, respectively: -5.269 -4.067 -5.334 eV per atom.